9
Lattice="5.103 0.000 0.000 -2.551 4.419 0.000 0.000 0.000 4.634" Properties=species:S:1:pos:R:3 comment="UCr2O6 (GGA+U, relaxed)" e_tot_ev_per_atom=-8.67 total_magnetization_mub_per_cell=6.0 pbc="T T T"
U 0.000 0.000 0.000
Cr 0.000 2.946 2.317
Cr 2.551 1.473 2.317
O -0.862 1.493 1.223
O -1.690 2.927 3.411
O 1.723 0.000 1.223
O 0.862 1.493 3.411
O 3.379 0.000 3.411
O 1.690 2.927 1.223